# BaGdCd2Au4, relaxed, DFT PBE
# - space-group type = P4/mmm, No. 123
# - uncorrected energy (eV per atom) = -3.23
data_BaGdCd2Au4
_cell_length_a 5.145
_cell_length_b 5.145
_cell_length_c 7.309
_cell_angle_alpha 90.00
_cell_angle_beta 90.00
_cell_angle_gamma 90.00
_symmetry_space_group_name_H-M 'P 1'
_symmetry_Int_Tables_number 1
_symmetry_space_group_name_Hall 'P 1'
loop_
_atom_site_label
_atom_site_type_symbol
_atom_site_fract_x
_atom_site_fract_y
_atom_site_fract_z
Ba1 Ba 0.000 0.000 0.000
Gd1 Gd 0.500 0.500 0.500
Cd1 Cd 0.000 0.000 0.500
Cd2 Cd 0.500 0.500 0.000
Au1 Au 0.000 0.500 0.282
Au2 Au 0.000 0.500 0.718
Au3 Au 0.500 0.000 0.282
Au4 Au 0.500 0.000 0.718